This record from OQMD via LeMat-Bulk describes crystalline SmInAsO at its relaxed geometry. The functional is GGA-PBE.

## Properties
Relative energy among the computed polymorphs ... 0.00 eV/f.u.
Total DFT energy (no corrections) ... -45.98 eV/cell

CIF file:
```
data_SmInAsO
_cell_length_a 4.163
_cell_length_b 4.163
_cell_length_c 9.788
_cell_angle_alpha 90.00
_cell_angle_beta 90.00
_cell_angle_gamma 90.00
_space_group_name_H-M_alt 'P 1'
_space_group_IT_number 1
loop_
_space_group_symop_operation_xyz
'x,y,z'
loop_
_atom_site_label
_atom_site_fract_x
_atom_site_fract_y
_atom_site_fract_z
As1 0.250 0.250 0.716
As2 0.750 0.750 0.284
O1 0.250 0.750 0.000
O2 0.750 0.250 0.000
Sm1 0.250 0.250 0.110
Sm2 0.750 0.750 0.890
In1 0.250 0.750 0.500
In2 0.750 0.250 0.500
```